# Ta2BeGe, optimized geometry, DFT PBE
data_Ta2BeGe
_chemical_formula_sum 'Ta6 Be3 Ge3'
_cell_length_a 3.4168
_cell_length_b 3.4168
_cell_length_c 18.7380
_cell_angle_alpha 90.00
_cell_angle_beta 90.00
_cell_angle_gamma 120.00
_symmetry_space_group_name_H-M 'R -3 m'
_symmetry_Int_Tables_number 166
_symmetry_space_group_name_Hall '-R 3 2"'
loop_
_atom_site_label
_atom_site_type_symbol
_atom_site_fract_x
_atom_site_fract_y
_atom_site_fract_z
Ta1 Ta 0.0000 0.0000 0.2392
Be1 Be 0.0000 0.0000 0.5000
Ge1 Ge 0.0000 0.0000 0.0000
# Density of states at the Fermi level = 0.29 states/eV per atom
# E = -95.05 eV/cell
# DFT formation energy = 0.0913 eV per atom
# M_tot = 0.0 μB per cell
# Energy relative to the lowest polymorph listed for this composition = 0.478 eV per atom